The following is a PBE calculation of a relaxed VGaCo crystal, from Alexandria.

Formation energy = 0.156 eV/atom

a = 2.6856 Å, b = 2.6856 Å, c = 19.2055 Å
α = 90.00°, β = 90.00°, γ = 120.00°
Space group R3m (No. 160, hexagonal axes)
One atom of each set of equivalent atoms:
V1 0.0000 0.0000 0.0000 [3 per cell]
Ga1 0.0000 0.0000 0.5507 [3 per cell]
Co1 0.0000 0.0000 0.1104 [3 per cell]


The following is a PBE calculation of a relaxed Ba2CoAuC crystal, from Alexandria.

Formation energy = -0.076 eV/atom

a = 5.874 Å, b = 5.874 Å, c = 3.674 Å
α = 90.00°, β = 90.00°, γ = 90.00°
Space group P4/mmm (No. 123)
One atom of each set of equivalent atoms:
Ba1 0.000 0.500 0.000 [2 per cell]
Co1 0.000 0.000 0.500 [1 per cell]
Au1 0.500 0.500 0.500 [1 per cell]
C1 0.000 0.000 0.000 [1 per cell]


The following is a PBE calculation of a relaxed SbHPd4 crystal, from Alexandria.

E_tot = -119.3 eV/cell

a = 7.328 Å, b = 9.570 Å, c = 5.072 Å
α = 90.00°, β = 104.70°, γ = 90.00°
Space group C2/c (No. 15)
One atom of each set of equivalent atoms:
Sb1 0.000 0.134 0.250 [4 per cell]
H1 0.000 0.488 0.250 [4 per cell]
Pd1 0.101 0.366 0.542 [8 per cell]
Pd2 0.194 0.119 0.876 [8 per cell]


Let's list magnetic moment in order: 1.0, 0.0, 0.0 Bohr magnetons per cell.